Entry 1:
The following is a PBE-GGA calculation of a geometry-optimized YThNb structure, from the Open Quantum Materials Database.

Cell: 7.057 7.057 7.057 Å, 90.00 90.00 90.00°
Space group F-43m (No. 216)
Asymmetric unit:
Y 0.000 0.000 0.000
Th 0.000 0.000 0.500
Nb 0.250 0.250 0.750

Computed properties:
**Magnetization**: 0.0 μB per cell
**Crystal system**: cubic
**Energy above the lowest structure with this stoichiometry**: 0.000 eV per atom

Entry 2:
The following is a PBE-GGA calculation of a geometry-optimized ThNbZn structure, from the Open Quantum Materials Database.

Cell: 6.620 6.620 6.620 Å, 90.00 90.00 90.00°
Space group F-43m (No. 216)
Asymmetric unit:
Th 0.000 0.000 0.000
Nb 0.000 0.000 0.500
Zn 0.250 0.250 0.750

Computed properties:
**Magnetization**: 0.0 μB per cell
**Crystal system**: cubic
**Energy above the lowest structure with this stoichiometry**: 0.000 eV per atom

Entry 3:
The following is a PBE-GGA calculation of a geometry-optimized ThZrNb structure, from the Open Quantum Materials Database.

Cell: 6.871 6.871 6.871 Å, 90.00 90.00 90.00°
Space group F-43m (No. 216)
Asymmetric unit:
Th 0.000 0.000 0.000
Zr 0.000 0.000 0.500
Nb 0.250 0.250 0.250

Computed properties:
**Magnetization**: 0.7 μB per cell
**Crystal system**: cubic

Entry 4:
The following is a PBE-GGA calculation of a geometry-optimized NbTl structure, from the Open Quantum Materials Database.

Cell: 3.1308 3.1308 4.9382 Å, 90.00 90.00 120.00°
Space group P-6m2 (No. 187)
Asymmetric unit:
Nb 0.0000 0.0000 0.0000
Tl 0.6667 0.3333 0.5000

Computed properties:
**Magnetization**: 0.0 μB per cell
**Crystal system**: hexagonal

Entry 5:
The following is a PBE-GGA calculation of a geometry-optimized NbTl structure, from the Open Quantum Materials Database.

Cell: 4.4738 4.4738 5.5411 Å, 90.00 90.00 120.00°
Space group P6_3/mmc (No. 194)
Asymmetric unit:
Nb 0.0000 0.0000 0.0000
Tl 0.3333 0.6667 0.2500

Computed properties:
**Magnetization**: 0.0 μB per cell
**Crystal system**: hexagonal

Entry 6:
The following is a PBE-GGA calculation of a geometry-optimized NbTl structure, from the Open Quantum Materials Database.

Cell: 4.1838 4.1838 6.1437 Å, 90.00 90.00 120.00°
Space group P6_3/mmc (No. 194)
Asymmetric unit:
Nb 0.3333 0.6667 0.2500
Tl 0.0000 0.0000 0.0000

Computed properties:
**Magnetization**: 0.0 μB per cell
**Crystal system**: hexagonal

Entry 7:
The following is a PBE-GGA calculation of a geometry-optimized Nb3Tl4 structure, from the Open Quantum Materials Database.

Cell: 10.715 3.468 10.718 Å, 90.00 119.96 90.00°
Space group P2_1/m (No. 11)
Asymmetric unit:
Nb 0.011 0.250 0.097
Nb 0.097 0.750 0.586
Nb 0.414 0.750 0.011
Tl 0.167 0.250 0.833
Tl 0.198 0.250 0.417
Tl 0.281 0.750 0.198
Tl 0.417 0.750 0.719

Computed properties:
**Magnetization**: 0.0 μB per cell
**Crystal system**: monoclinic

Entry 8:
The following is a PBE-GGA calculation of a geometry-optimized Nb5Tl structure, from the Open Quantum Materials Database.

Cell: 5.428 7.786 11.157 Å, 90.00 90.00 90.00°
Space group Pmc2_1 (No. 26)
Asymmetric unit:
Nb 0.000 0.105 0.000
Nb 0.000 0.347 0.834
Nb 0.000 0.389 0.129
Nb 0.245 0.010 0.766
Nb 0.256 0.343 0.375
Nb 0.500 0.260 0.155
Nb 0.500 0.323 0.924
Nb 0.500 0.385 0.685
Tl 0.000 0.246 0.593
Tl 0.500 0.055 0.512

Computed properties:
**Magnetization**: 0.0 μB per cell
**Crystal system**: orthorhombic

Number 1: DFT total energy -7.3667 eV/atom. Number 2: DFT total energy -5.8029 eV/atom. Number 3: DFT total energy -8.1854 eV/atom. Number 4: DFT total energy -5.8108 eV/atom. Number 5: DFT total energy -5.3141 eV/atom. Number 6: DFT total energy -5.2669 eV/atom. Number 7: DFT total energy -5.1264 eV/atom. Number 8: DFT total energy -8.4677 eV/atom.